{
  "formula": "Ba4BiPO",
  "functional": "GGA-PBE",
  "state": "optimized geometry",
  "magmom_total_mub_per_atom": 0.000,
  "raw_formation_energy_ev_per_atom": -1.41,
  "lattice_angstrom": [[-2.618, 2.618, 9.242], [2.618, -2.618, 9.242], [2.618, 2.618, -9.242]],
  "species": ["Ba", "Ba", "Ba", "Ba", "Bi", "P", "O"],
  "frac_coords": [[0.000, 0.000, 0.000], [0.202, 0.702, 0.500], [0.363, 0.363, 0.000], [0.702, 0.202, 0.500], [0.557, 0.557, 0.000], [0.826, 0.826, 0.000], [0.224, 0.224, 0.000]]
}

---

{
  "formula": "CaHW3",
  "functional": "GGA-PBE",
  "state": "optimized geometry",
  "polymorph_energy_ev_per_fu": 0.00,
  "magmom_total_mub_per_atom": 0.000,
  "lattice_angstrom": [[4.226, 0.000, 0.000], [0.000, 4.226, 0.000], [0.000, 0.000, 4.226]],
  "species": ["Ca", "H", "W", "W", "W"],
  "frac_coords": [[0.000, 0.000, 0.000], [0.500, 0.500, 0.500], [0.000, 0.500, 0.500], [0.500, 0.000, 0.500], [0.500, 0.500, 0.000]]
}

---

{
  "formula": "ScAlPt",
  "functional": "GGA-PBE",
  "state": "optimized geometry",
  "magmom_total_mub_per_atom": 0.000,
  "formation_enthalpy_0k_mev_per_atom": -923,
  "lattice_angstrom": [[0.000, 3.112, 3.112], [3.112, 0.000, 3.112], [3.112, 3.112, 0.000]],
  "species": ["Sc", "Al", "Pt"],
  "frac_coords": [[0.000, 0.000, 0.000], [0.500, 0.500, 0.500], [0.250, 0.250, 0.250]]
}

---

{
  "formula": "NaPmNd2Te4",
  "functional": "GGA-PBE",
  "state": "optimized geometry",
  "magmom_total_mub_per_atom": 0.000,
  "raw_formation_energy_ev_per_atom": -1.38,
  "lattice_angstrom": [[7.809, 0.000, 0.000], [0.000, 4.472, 0.000], [-2.550, 0.000, 7.385]],
  "species": ["Na", "Pm", "Nd", "Nd", "Te", "Te", "Te", "Te"],
  "frac_coords": [[0.000, 0.000, 0.000], [0.000, 0.500, 0.500], [0.500, 0.000, 0.500], [0.500, 0.500, 0.000], [0.246, 0.000, 0.751], [0.248, 0.500, 0.249], [0.752, 0.500, 0.751], [0.754, 0.000, 0.249]]
}

---

{
  "formula": "ScCr2Pt",
  "functional": "GGA-PBE",
  "state": "optimized geometry",
  "magmom_total_mub_per_atom": 0.000,
  "formation_enthalpy_0k_mev_per_atom": 413,
  "lattice_angstrom": [[-3.615, 3.615, 2.515], [3.615, -3.615, 2.515], [3.615, 3.615, -2.515]],
  "species": ["Sc", "Sc", "Cr", "Cr", "Cr", "Cr", "Pt", "Pt"],
  "frac_coords": [[0.000, 0.000, 0.000], [0.750, 0.250, 0.500], [0.157, 0.125, 0.532], [0.375, 0.843, 0.968], [0.593, 0.625, 0.468], [0.875, 0.407, 0.032], [0.250, 0.750, 0.500], [0.500, 0.500, 0.000]]
}

---

{
  "formula": "HoGaB",
  "functional": "GGA-PBE",
  "state": "optimized geometry",
  "magmom_total_mub_per_atom": 0.083,
  "formation_enthalpy_0k_mev_per_atom": 201,
  "lattice_angstrom": [[3.121, -1.785, 0.000], [3.121, 1.785, 0.000], [-2.197, 0.000, 10.088]],
  "species": ["Ho", "Ho", "Ga", "Ga", "B", "B"],
  "frac_coords": [[0.217, 0.217, 0.153], [0.783, 0.783, 0.847], [0.307, 0.307, 0.423], [0.693, 0.693, 0.577], [0.390, 0.390, 0.659], [0.610, 0.610, 0.341]]
}

---

{
  "formula": "Na3Tl3CuCl8",
  "functional": "GGA-PBE",
  "state": "optimized geometry",
  "magmom_total_mub_per_atom": 0.067,
  "raw_formation_energy_ev_per_atom": -1.20,
  "lattice_angstrom": [[7.119, -4.111, 0.000], [7.119, 4.111, 0.000], [-4.748, 0.000, 7.420]],
  "species": ["Na", "Na", "Na", "Tl", "Tl", "Tl", "Cu", "Cl", "Cl", "Cl", "Cl", "Cl", "Cl", "Cl", "Cl"],
  "frac_coords": [[0.000, 0.000, 0.000], [0.000, 0.500, 0.000], [0.500, 0.000, 0.000], [0.000, 0.500, 0.500], [0.500, 0.000, 0.500], [0.500, 0.500, 0.500], [0.500, 0.500, 0.000], [0.236, 0.236, 0.209], [0.270, 0.710, 0.189], [0.290, 0.730, 0.811], [0.292, 0.292, 0.812], [0.708, 0.708, 0.188], [0.710, 0.270, 0.189], [0.730, 0.290, 0.811], [0.764, 0.764, 0.791]]
}

---

{
  "formula": "Al2TeP",
  "functional": "GGA-PBE",
  "state": "optimized geometry",
  "polymorph_energy_ev_per_fu": 1.70,
  "magmom_total_mub_per_atom": 0.000,
  "raw_formation_energy_ev_per_atom": 0.15,
  "lattice_angstrom": [[3.254, 0.000, 0.000], [0.000, 3.254, 0.000], [0.000, 0.000, 7.295]],
  "species": ["Al", "Al", "Te", "P"],
  "frac_coords": [[0.000, 0.000, 0.190], [0.000, 0.000, 0.810], [0.500, 0.500, 0.500], [0.500, 0.500, 0.000]]
}

---

Uncorrected energy (eV per formula unit)
-31.81; -39.47; -18.88; -39.24; -29.97; -13.68; -47.90; -15.45